This record from the Alexandria database describes crystalline LaSn4Pd4 at its relaxed geometry. The functional is GGA-PBE.

Computed properties:
SG   P4_2/n, No. 86
Magnetization   0.000 μB per formula unit
E   -5.1528 eV/atom

Lattice parameters (Å, degrees): 8.973 8.973 5.356 90.00 90.00 90.00
Positions (direct):
La: 0.250 0.250 0.250
La: 0.750 0.750 0.750
Sn: 0.100 0.639 0.174
Sn: 0.139 0.900 0.674
Sn: 0.361 0.600 0.674
Sn: 0.400 0.861 0.174
Sn: 0.600 0.139 0.826
Sn: 0.639 0.400 0.326
Sn: 0.861 0.100 0.326
Sn: 0.900 0.361 0.826
Pd: 0.053 0.605 0.676
Pd: 0.105 0.947 0.176
Pd: 0.395 0.553 0.176
Pd: 0.447 0.895 0.676
Pd: 0.553 0.105 0.324
Pd: 0.605 0.447 0.824
Pd: 0.895 0.053 0.824
Pd: 0.947 0.395 0.324